Here is an optimized crystal structure of SrTa2Ag from Alexandria via LeMat-Bulk. Energies are from PBE.

Structure (CIF):
```
data_SrTa2Ag
_chemical_formula_sum 'Sr2 Ta4 Ag2'
_symmetry_space_group_name_H-M 'C m m 2'
_symmetry_Int_Tables_number 35
_symmetry_space_group_name_Hall 'C 2 -2'
_cell_length_a 3.671
_cell_length_b 4.776
_cell_length_c 9.934
_cell_angle_alpha 90.00
_cell_angle_beta 90.00
_cell_angle_gamma 90.00
loop_
_atom_site_label
_atom_site_type_symbol
_atom_site_fract_x
_atom_site_fract_y
_atom_site_fract_z
Sr1 Sr 0.000 0.000 0.000
Ta1 Ta 0.000 0.000 0.497
Ta2 Ta 0.000 0.500 0.706
Ag1 Ag 0.000 0.500 0.272
```

Computed properties:
**Final energy**: -6.568 eV per atom
**Crystal system**: orthorhombic


Here is an optimized crystal structure of Ir12Ru3Rh4 from Alexandria via LeMat-Bulk. Energies are from PBE.

Structure (CIF):
```
data_Ir12Ru3Rh4
_chemical_formula_sum 'Ir24 Ru6 Rh8'
_symmetry_space_group_name_H-M 'I m -3'
_symmetry_Int_Tables_number 204
_symmetry_space_group_name_Hall '-I 2 2 3'
_cell_length_a 9.288
_cell_length_b 9.288
_cell_length_c 9.288
_cell_angle_alpha 90.00
_cell_angle_beta 90.00
_cell_angle_gamma 90.00
loop_
_atom_site_label
_atom_site_type_symbol
_atom_site_fract_x
_atom_site_fract_y
_atom_site_fract_z
Ir1 Ir 0.000 0.364 0.268
Ru1 Ru 0.000 0.000 0.500
Rh1 Rh 0.250 0.250 0.250
```

Computed properties:
**Final energy**: -7.816 eV per atom
**Crystal system**: cubic


Here is an optimized crystal structure of PmDy2HoS6 from Alexandria via LeMat-Bulk. Energies are from PBE.

Structure (CIF):
```
data_PmDy2HoS6
_chemical_formula_sum 'Pm3 Dy6 Ho3 S18'
_symmetry_space_group_name_H-M 'R 3'
_symmetry_Int_Tables_number 146
_symmetry_space_group_name_Hall 'R 3'
_cell_length_a 6.9599
_cell_length_b 6.9599
_cell_length_c 18.5670
_cell_angle_alpha 90.00
_cell_angle_beta 90.00
_cell_angle_gamma 120.00
loop_
_atom_site_label
_atom_site_type_symbol
_atom_site_fract_x
_atom_site_fract_y
_atom_site_fract_z
Pm1 Pm 0.0000 0.0000 0.0000
Dy1 Dy 0.0000 0.0000 0.2941
Dy2 Dy 0.0000 0.0000 0.7967
Ho1 Ho 0.0000 0.0000 0.4957
S1 S 0.0005 0.3039 0.8945
S2 S 0.0133 0.7114 0.3953
```

Computed properties:
**Raw formation energy**: -198 kJ per mole of atoms
**Crystal system**: trigonal


Here is an optimized crystal structure of CoCu3S4 from Alexandria via LeMat-Bulk. Energies are from PBE.

Structure (CIF):
```
data_CoCu3S4
_chemical_formula_sum 'Co2 Cu6 S8'
_symmetry_space_group_name_H-M 'I -4 2 m'
_symmetry_Int_Tables_number 121
_symmetry_space_group_name_Hall 'I -4 2'
_cell_length_a 5.212
_cell_length_b 5.212
_cell_length_c 10.182
_cell_angle_alpha 90.00
_cell_angle_beta 90.00
_cell_angle_gamma 90.00
loop_
_atom_site_label
_atom_site_type_symbol
_atom_site_fract_x
_atom_site_fract_y
_atom_site_fract_z
Co1 Co 0.000 0.000 0.000
Cu1 Cu 0.000 0.000 0.500
Cu2 Cu 0.000 0.500 0.250
S1 S 0.239 0.239 0.880
```

Computed properties:
**Raw formation energy**: -23 kJ per mole of atoms
**Crystal system**: tetragonal


Here is an optimized crystal structure of Si2Sb3 from Alexandria via LeMat-Bulk. Energies are from PBE.

Structure (CIF):
```
data_Si2Sb3
_chemical_formula_sum 'Si16 Sb24'
_symmetry_space_group_name_H-M 'F d d 2'
_symmetry_Int_Tables_number 43
_symmetry_space_group_name_Hall 'F 2 -2d'
_cell_length_a 11.992
_cell_length_b 12.474
_cell_length_c 6.611
_cell_angle_alpha 90.00
_cell_angle_beta 90.00
_cell_angle_gamma 90.00
loop_
_atom_site_label
_atom_site_type_symbol
_atom_site_fract_x
_atom_site_fract_y
_atom_site_fract_z
Si1 Si 0.106 0.200 0.000
Sb1 Sb 0.000 0.000 0.089
Sb2 Sb 0.058 0.160 0.612
```

Computed properties:
**Raw formation energy**: 31 kJ per mole of atoms
**Crystal system**: orthorhombic


Here is an optimized crystal structure of LiNpIO4 from Alexandria via LeMat-Bulk. Energies are from PBE.

Structure (CIF):
```
data_LiNpIO4
_chemical_formula_sum 'Li4 Np4 I4 O16'
_symmetry_space_group_name_H-M 'C 1 2/m 1'
_symmetry_Int_Tables_number 12
_symmetry_space_group_name_Hall '-C 2y'
_cell_length_a 12.525
_cell_length_b 6.790
_cell_length_c 6.143
_cell_angle_alpha 90.00
_cell_angle_beta 107.77
_cell_angle_gamma 90.00
loop_
_atom_site_label
_atom_site_type_symbol
_atom_site_fract_x
_atom_site_fract_y
_atom_site_fract_z
Li1 Li 0.109 0.000 0.280
Np1 Np 0.215 0.000 0.900
I1 I 0.011 0.500 0.755
O1 O 0.053 0.000 0.783
O2 O 0.198 0.191 0.133
O3 O 0.210 0.000 0.595
```

Computed properties:
**Raw formation energy**: -176 kJ per mole of atoms
**Crystal system**: monoclinic